--- w ---
A geometry-optimized LaGaBr2 structure. Source: Alexandria, functional PBE.

Output
Volume, A^3/atom: 28.1

Cell: 5.4198 5.4198 5.4198 Å, 60.00 60.00 60.00°
Last column: nearest neighbours and their distance in Å.
Fractional coordinates of all 4 atoms:
1 Ga 0.0000 0.0000 0.0000  8 Br 3.32
2 Br 0.7500 0.7500 0.7500  4 La 3.32, 4 Ga 3.32
3 Br 0.2500 0.2500 0.2500  4 La 3.32, 4 Ga 3.32
4 La 0.5000 0.5000 0.5000  8 Br 3.32

--- x ---
A geometry-optimized LaGaBr2 structure. Source: Alexandria, functional PBE.

Output
Volume, A^3/atom: 36.6

Cell: 4.1682 4.1682 10.0209 Å, 78.00 78.00 60.00°
Last column: nearest neighbours and their distance in Å.
Fractional coordinates of all 4 atoms:
1 Br 0.8998 0.8998 0.3006  1 La 2.92, 3 Ga 3.09
2 Br 0.1002 0.1002 0.6994  1 La 2.92, 3 Ga 3.09
3 Ga 0.5000 0.5000 0.5000  6 Br 3.09
4 La 0.0000 0.0000 0.0000  2 Br 2.92

--- y ---
A geometry-optimized LaGaBr2 structure. Source: Alexandria, functional PBE.

Output
Volume, A^3/atom: 33.1

Cell: 10.7078 10.7078 10.7078 Å, 20.54 20.54 20.54°
Last column: nearest neighbours and their distance in Å.
Fractional coordinates of all 4 atoms:
1 Br 0.0993 0.0993 0.0993  3 La 3.06, 1 Ga 3.12
2 Br 0.9007 0.9007 0.9007  3 La 3.06, 1 Ga 3.12
3 La 0.5000 0.5000 0.5000  6 Br 3.06
4 Ga 0.0000 0.0000 0.0000  2 Br 3.12

Top of the stability list: y, leading by 0.130 eV/atom.

--- w ---
A geometry-optimized LaGa2Br structure. Source: Alexandria, functional PBE.

Output
Volume, A^3/atom: 27.7

Cell: 5.3944 5.3944 5.3944 Å, 60.00 60.00 60.00°
Last column: nearest neighbours and their distance in Å.
Fractional coordinates of all 4 atoms:
1 Ga 0.7500 0.7500 0.7500  4 La 3.30, 4 Br 3.30
2 Ga 0.2500 0.2500 0.2500  4 La 3.30, 4 Br 3.30
3 Br 0.0000 0.0000 0.0000  8 Ga 3.30
4 La 0.5000 0.5000 0.5000  8 Ga 3.30

--- x ---
A geometry-optimized LaGa2Br structure. Source: Alexandria, functional PBE.

Output
Volume, A^3/atom: 28.0

Cell: 8.7066 8.7066 6.8278 Å, 50.39 50.39 90.00°
Last column: nearest neighbours and their distance in Å.
Fractional coordinates of all 8 atoms:
1 Ga 0.1227 0.6250 0.2500  2 Ga 2.95, 2 La 3.15, 2 Br 3.18
2 Ga 0.6273 0.1250 0.2500  2 Ga 2.95, 2 La 3.15, 2 Br 3.18
3 Ga 0.8750 0.8773 0.7500  2 Ga 2.95, 2 La 3.15, 2 Br 3.18
4 Ga 0.3750 0.3727 0.7500  2 Ga 2.95, 2 La 3.15, 2 Br 3.18
5 La 0.0000 0.0000 0.0000  2 Br 2.95, 4 Ga 3.15
6 La 0.7500 0.2500 0.5000  2 Br 2.95, 4 Ga 3.15
7 Br 0.2500 0.7500 0.5000  2 La 2.95, 4 Ga 3.18
8 Br 0.5000 0.5000 0.0000  2 La 2.95, 4 Ga 3.18

Top of the stability list: x, leading by 0.148 eV/atom.